1) DFT (PBE-GGA) results for a relaxed AcMnSb3 crystal.

Unit cell a=13.798 b=6.386 c=6.214 alpha=90.00 beta=90.00 gamma=90.00
Positions (direct):
1 Ac 0.193 0.003 0.250
2 Ac 0.193 0.497 0.750
3 Ac 0.807 0.503 0.250
4 Ac 0.807 0.997 0.750
5 Mn 0.414 0.750 0.000
6 Mn 0.414 0.750 0.500
7 Mn 0.586 0.250 0.000
8 Mn 0.586 0.250 0.500
9 Sb 0.001 0.750 0.000
10 Sb 0.001 0.750 0.500
11 Sb 0.293 0.505 0.250
12 Sb 0.293 0.995 0.750
13 Sb 0.440 0.100 0.250
14 Sb 0.440 0.400 0.750
15 Sb 0.560 0.600 0.250
16 Sb 0.560 0.900 0.750
17 Sb 0.707 0.005 0.250
18 Sb 0.707 0.495 0.750
19 Sb 0.999 0.250 0.000
20 Sb 0.999 0.250 0.500

calculated density	7.9	g cm⁻³
Fermi-level density of states	9.955	states/eV/cell
spin magnetization	11.41	μB/cell

2) DFT (PBE-GGA) results for a relaxed AcMnSb3 crystal.

Unit cell a=5.231 b=5.231 c=5.231 alpha=90.00 beta=90.00 gamma=90.00
Positions (direct):
1 Ac 0.000 0.000 0.000
2 Mn 0.500 0.500 0.500
3 Sb 0.000 0.500 0.500
4 Sb 0.500 0.000 0.500
5 Sb 0.500 0.500 0.000

calculated density	7.5	g cm⁻³
Fermi-level density of states	3.114	states/eV/cell
spin magnetization	3.36	μB/cell

Most stable to least stable, the ends of the list are 1) and 2).

1) DFT (PBE-GGA) results for a relaxed AcMnSe2 crystal.

Unit cell a=7.235 b=7.899 c=7.415 alpha=90.00 beta=99.25 gamma=90.00
Positions (direct):
1 Ac 0.193 0.057 0.304
2 Ac 0.193 0.443 0.804
3 Ac 0.807 0.557 0.196
4 Ac 0.807 0.943 0.696
5 Mn 0.412 0.639 0.433
6 Mn 0.412 0.861 0.933
7 Mn 0.588 0.139 0.067
8 Mn 0.588 0.361 0.567
9 Se 0.093 0.728 0.504
10 Se 0.093 0.772 0.004
11 Se 0.420 0.123 0.717
12 Se 0.420 0.377 0.217
13 Se 0.580 0.623 0.783
14 Se 0.580 0.877 0.283
15 Se 0.907 0.228 0.996
16 Se 0.907 0.272 0.496

calculated density	7.0	g cm⁻³
Fermi-level density of states	3.231	states/eV/cell
spin magnetization	16.00	μB/cell

2) DFT (PBE-GGA) results for a relaxed AcMnSe2 crystal.

Unit cell a=9.019 b=9.019 c=9.019 alpha=25.39 beta=25.39 gamma=25.39
Positions (direct):
1 Ac 0.000 0.000 0.000
2 Mn 0.500 0.500 0.500
3 Se 0.115 0.115 0.115
4 Se 0.885 0.885 0.885

calculated density	6.2	g cm⁻³
Fermi-level density of states	2.367	states/eV/cell
spin magnetization	4.46	μB/cell

Most stable to least stable, the ends of the list are 1) and 2).